The following is a DFT calculation (PBE) of a relaxed structure of YHf2Pb2.

Cell: 8.0887 8.0887 3.8683 Å, 90.00 90.00 90.00°
With the nearest neighbours (Å) after each atom.
Fractional coordinates of all 10 atoms:
Pb 0.3580 0.8580 0.0000  6 Hf 3.01-3.09, 2 Y 3.12, 1 Pb 3.25
Pb 0.8580 0.6420 0.0000  6 Hf 3.01-3.09, 2 Y 3.12, 1 Pb 3.25
Pb 0.6420 0.1420 0.0000  6 Hf 3.01-3.09, 2 Y 3.12, 1 Pb 3.25
Pb 0.1420 0.3580 0.0000  6 Hf 3.01-3.09, 2 Y 3.12, 1 Pb 3.25
Y 0.0000 0.0000 0.0000  4 Pb 3.12
Y 0.5000 0.5000 0.0000  4 Pb 3.12
Hf 0.1562 0.6562 0.5000  6 Pb 3.01-3.09
Hf 0.6562 0.8438 0.5000  6 Pb 3.01-3.09
Hf 0.8438 0.3438 0.5000  6 Pb 3.01-3.09
Hf 0.3438 0.1562 0.5000  6 Pb 3.01-3.09

Values from the calculation:
The volume is 25.3 A^3/atom. As for the distance to the lowest polymorph of the same formula: 0.000 eV per atom. Its symmetry is P4/mbm, No. 127. The formation energy comes out at -0.2 eV/f.u.